Record 1
Compound: Zr2InGaCu2Pd2
Source: OQMD via LeMat-Bulk
Functional: GGA-PBE
Structure: relaxed

## Properties
* crystal system: tetragonal
* E_tot: -44.64 eV/cell

Unit cell a=4.557 b=4.557 c=6.483 alpha=90.00 beta=90.00 gamma=90.00
Fractional positions:
Cu1 0.500 0.000 0.239
Cu2 0.000 0.500 0.761
Ga1 0.000 0.000 0.000
In1 0.500 0.500 0.500
Pd1 0.000 0.500 0.237
Pd2 0.500 0.000 0.763
Zr1 0.500 0.500 0.000
Zr2 0.000 0.000 0.500



Record 2
Compound: PrSmI2BrN
Source: OQMD via LeMat-Bulk
Functional: GGA-PBE
Structure: relaxed

## Properties
* energy above the lowest structure with this stoichiometry: 0.030 eV/atom
* crystal system: monoclinic
* E_tot: -63.91 eV/cell

Unit cell a=9.728 b=9.728 c=12.152 alpha=122.61 beta=122.61 gamma=24.25
Fractional positions:
Br1 0.211 0.211 0.121
Br2 0.789 0.789 0.879
I1 0.954 0.954 0.265
I2 0.334 0.334 0.483
I3 0.666 0.666 0.517
I4 0.046 0.046 0.735
N1 0.571 0.571 0.152
N2 0.429 0.429 0.848
Pr1 0.423 0.423 0.038
Pr2 0.577 0.577 0.962
Sm1 0.130 0.130 0.277
Sm2 0.870 0.870 0.723



Record 3
Compound: NdBePb
Source: OQMD via LeMat-Bulk
Functional: GGA-PBE
Structure: relaxed

## Properties
* crystal system: cubic
* E_tot: -12.48 eV/cell

Unit cell a=4.668 b=4.668 c=4.668 alpha=60.00 beta=60.00 gamma=60.00
Fractional positions:
Be1 0.000 0.000 0.000
Nd1 0.250 0.250 0.250
Pb1 0.750 0.750 0.750



Record 4
Compound: DyLuNb
Source: OQMD via LeMat-Bulk
Functional: GGA-PBE
Structure: relaxed

## Properties
* ΔH_f (0 K): 792 meV per atom
* energy above the lowest structure with this stoichiometry: 0.000 eV/atom
* crystal system: cubic
* E_tot: -16.84 eV/cell

Unit cell a=5.018 b=5.018 c=5.018 alpha=60.00 beta=60.00 gamma=60.00
Last column: magnetic moment on the atom in μB.
Fractional positions:
Dy1 0.000 0.000 0.000  0.19
Lu1 0.500 0.500 0.500  0.18
Nb1 0.750 0.750 0.750  1.47



Record 5
Compound: Ba2ZnSe2F2
Source: OQMD via LeMat-Bulk
Functional: GGA-PBE
Structure: relaxed

## Properties
* crystal system: tetragonal
* E_tot: -32.70 eV/cell

Unit cell a=4.222 b=4.222 c=9.183 alpha=90.00 beta=90.00 gamma=90.00
Fractional positions:
Ba1 0.000 0.500 0.327
Ba2 0.500 0.000 0.673
F1 0.000 0.000 0.500
F2 0.500 0.500 0.500
Se1 0.500 0.000 0.153
Se2 0.000 0.500 0.847
Zn1 0.000 0.000 0.000



Record 6
Compound: RbLuSi
Source: OQMD via LeMat-Bulk
Functional: GGA-PBE
Structure: relaxed

## Properties
* energy above the lowest structure with this stoichiometry: 0.762 eV/atom
* crystal system: cubic
* E_tot: -7.48 eV/cell

Unit cell a=5.073 b=5.073 c=5.073 alpha=60.00 beta=60.00 gamma=60.00
Fractional positions:
Lu1 0.250 0.250 0.250
Rb1 0.000 0.000 0.000
Si1 0.750 0.750 0.750



Record 7
Compound: Gd3In3NiPdAu
Source: OQMD via LeMat-Bulk
Functional: GGA-PBE
Structure: relaxed

## Properties
* crystal system: hexagonal
* E_tot: -42.61 eV/cell

Unit cell a=7.687 b=7.687 c=3.904 alpha=90.00 beta=90.00 gamma=120.00
Fractional positions:
Au1 0.000 0.000 0.000
Gd1 0.738 0.078 0.500
Gd2 0.340 0.262 0.500
Gd3 0.922 0.660 0.500
In1 0.087 0.424 0.000
In2 0.576 0.663 0.000
In3 0.337 0.913 0.000
Ni1 0.333 0.667 0.500
Pd1 0.667 0.333 0.000



Record 8
Compound: Na6CdIn
Source: OQMD via LeMat-Bulk
Functional: GGA-PBE
Structure: relaxed

## Properties
* crystal system: hexagonal
* E_tot: -11.91 eV/cell

Unit cell a=6.859 b=6.859 c=5.598 alpha=90.00 beta=90.00 gamma=120.00
Fractional positions:
Cd1 0.000 0.000 0.000
In1 0.333 0.667 0.500
Na1 0.013 0.507 0.000
Na2 0.493 0.507 0.000
Na3 0.493 0.987 0.000
Na4 0.323 0.161 0.500
Na5 0.839 0.161 0.500
Na6 0.839 0.677 0.500